Material: LaScTeI2
Method: DFT, GGA-PBE
State: optimized geometry

Results
Crystal system: tetragonal
Total DFT energy (no corrections), eV per atom: -4.244
E_form (uncorrected), eV per atom: -0.7437
N(E_F), states/eV per cell: 6.9
Total magnetic moment, μB per formula unit: 0.75

Geometry as POSCAR:
```
LaScTeI2
1.0
5.555 0.000 0.000
0.000 5.555 0.000
0.000 0.000 5.666
Te I Sc La
1 2 1 1
direct
0.000 0.000 0.500 Te
0.000 0.500 0.000 I
0.500 0.000 0.000 I
0.000 0.000 0.000 Sc
0.500 0.500 0.500 La
```